# 1
Crystalline AsHCl3 at its relaxed geometry. Source: Alexandria via LeMat-Bulk, functional GGA-PBE.

Cell lengths 4.360, 4.360, 4.360 Å; angles 90.00, 90.00, 90.00 degrees
Fractional coordinates of all 5 atoms:
H 0.000 0.000 0.000
As 0.500 0.500 0.500
Cl 0.000 0.500 0.000
Cl 0.000 0.000 0.500
Cl 0.500 0.000 0.000

Summary:
- total magnetic moment (μB/f.u.) = 0.0
- relative energy among the computed polymorphs (meV/atom) = 918
- VASP energy (eV/atom) = -2.1917

***

# 2
Crystalline AsH3Cl at its relaxed geometry. Source: Alexandria via LeMat-Bulk, functional GGA-PBE.

Cell lengths 3.707, 3.707, 3.707 Å; angles 90.00, 90.00, 90.00 degrees
Fractional coordinates of all 5 atoms:
H 0.000 0.500 0.000
H 0.000 0.000 0.500
H 0.500 0.000 0.000
As 0.500 0.500 0.500
Cl 0.000 0.000 0.000

Summary:
- total magnetic moment (μB/f.u.) = 0.0
- relative energy among the computed polymorphs (meV/atom) = 1170
- VASP energy (eV/atom) = -2.0921

***

# 3
Crystalline AsHCl at its relaxed geometry. Source: Alexandria via LeMat-Bulk, functional GGA-PBE.

Cell lengths 3.645, 8.816, 10.675 Å; angles 82.17, 90.00, 90.00 degrees
Fractional coordinates of all 12 atoms:
H 0.247 0.623 0.502
H 0.747 0.877 0.498
H 0.753 0.377 0.498
H 0.253 0.123 0.502
As 0.250 0.836 0.000
As 0.750 0.664 0.000
As 0.750 0.164 0.000
As 0.250 0.336 0.000
Cl 0.251 0.604 0.624
Cl 0.751 0.896 0.376
Cl 0.749 0.396 0.376
Cl 0.249 0.104 0.624

Summary:
- total magnetic moment (μB/f.u.) = 0.0
- VASP energy (eV/atom) = -3.4566

***

# 4
Crystalline KAsH2Cl8 at its relaxed geometry. Source: Alexandria via LeMat-Bulk, functional GGA-PBE.

Cell lengths 6.502, 7.285, 8.732 Å; angles 112.71, 91.10, 109.36 degrees
Fractional coordinates of all 12 atoms:
K 0.000 0.000 0.500
As 0.000 0.000 0.000
H 0.600 0.460 0.715
H 0.400 0.540 0.285
Cl 0.147 0.847 0.135
Cl 0.657 0.741 0.953
Cl 0.923 0.209 0.248
Cl 0.853 0.153 0.865
Cl 0.343 0.259 0.047
Cl 0.077 0.791 0.752
Cl 0.455 0.716 0.424
Cl 0.545 0.284 0.576

Summary:
- total magnetic moment (μB/f.u.) = 0.0
- VASP energy (eV/atom) = -2.9911

***

# 5
Crystalline LaTlAsHCl at its relaxed geometry. Source: Alexandria via LeMat-Bulk, functional GGA-PBE.

Cell lengths 8.823, 4.208, 7.310 Å; angles 90.00, 90.89, 90.00 degrees
Fractional coordinates of all 10 atoms:
La 0.654 0.000 0.868
La 0.654 0.500 0.368
Tl 0.224 0.000 0.861
Tl 0.224 0.500 0.361
As 0.435 0.000 0.533
As 0.435 0.500 0.033
H 0.649 0.000 0.534
H 0.649 0.500 0.034
Cl 0.845 0.000 0.205
Cl 0.845 0.500 0.705

Summary:
- total magnetic moment (μB/f.u.) = 0.0
- relative energy among the computed polymorphs (meV/atom) = 63
- VASP energy (eV/atom) = -4.2680

***

# 6
Crystalline LaTlAsHCl at its relaxed geometry. Source: Alexandria via LeMat-Bulk, functional GGA-PBE.

Cell lengths 4.162, 5.344, 6.122 Å; angles 89.34, 70.23, 67.85 degrees
Fractional coordinates of all 5 atoms:
La 0.190 0.773 0.707
Tl 0.254 0.161 0.207
As 0.902 0.774 0.277
H 0.537 0.952 0.837
Cl 0.855 0.367 0.778

Summary:
- total magnetic moment (μB/f.u.) = 0.0
- relative energy among the computed polymorphs (meV/atom) = 44
- VASP energy (eV/atom) = -4.2872